## TbY4Ir2 (PBE)

Data for crystalline TbY4Ir2 at its relaxed geometry.

- Volume: 26.19 A^3/atom
- M_tot: 0.000 μB/f.u.
- Space-group type: P2_1/m (11)
- Electronic total energy: -103.57 eV per cell
- Density: 8.14 Mg/m³

Lattice parameters (Å, degrees): 6.3596 7.9259 7.8967 112.90 90.00 90.00
With the nearest neighbours (Å) after each atom.
Fractional coordinates of all 14 atoms:
Ir 0.2500 0.2569 0.9852  6 Y 2.78-3.02
Tb 0.2500 0.8421 0.9710  1 Ir 2.82
Y 0.9974 0.4157 0.7630  4 Ir 2.99-3.10, 2 Y 3.15-3.21
Y 0.0026 0.5843 0.2370  4 Ir 2.99-3.10, 2 Y 3.15-3.21
Y 0.4974 0.5843 0.2370  4 Ir 2.99-3.10, 2 Y 3.15-3.21
Y 0.7500 0.7511 0.6660  2 Ir 2.78-2.89
Ir 0.7500 0.7431 0.0148  6 Y 2.78-3.02
Y 0.2500 0.2489 0.3340  2 Ir 2.78-2.89
Y 0.7500 0.0153 0.3795  2 Ir 2.75-2.85
Ir 0.7500 0.3727 0.4096  4 Y 2.75-3.01, 1 Tb 2.82
Y 0.2500 0.9847 0.6205  2 Ir 2.75-2.85
Y 0.5026 0.4157 0.7630  4 Ir 2.99-3.10, 2 Y 3.15-3.21
Ir 0.2500 0.6273 0.5904  4 Y 2.75-3.01, 1 Tb 2.82
Tb 0.7500 0.1579 0.0290  1 Ir 2.82